DFT (PBE-GGA) results for a relaxed structure of Ge2PdPb.

```
data_Ge2PdPb
_chemical_formula_sum 'Ge2 Pd1 Pb1'
_space_group_name_H-M_alt 'P 4/m m m'
_space_group_IT_number 123
_space_group_name_Hall '-P 4 2'
_cell_length_a 3.2853
_cell_length_b 3.2853
_cell_length_c 7.5961
_cell_angle_alpha 90.00
_cell_angle_beta 90.00
_cell_angle_gamma 90.00
loop_
_atom_site_label
_atom_site_fract_x
_atom_site_fract_y
_atom_site_fract_z
_atom_site_occupancy
Ge1 0.0000 0.0000 0.1927 1
Pd1 0.5000 0.5000 0.0000 1
Pb1 0.5000 0.5000 0.5000 1
```

Results
formation energy from the elements = -67 meV per atom
M_tot = 0.00 Bohr magnetons per cell
N(E_F) = 0.442 states/eV per atom

=====

DFT (PBE-GGA) results for a relaxed structure of Ge2PdPb.

```
data_Ge2PdPb
_chemical_formula_sum 'Ge6 Pd3 Pb3'
_space_group_name_H-M_alt 'R -3 m'
_space_group_IT_number 166
_space_group_name_Hall '-R 3 2"'
_cell_length_a 3.2521
_cell_length_b 3.2521
_cell_length_c 29.0942
_cell_angle_alpha 90.00
_cell_angle_beta 90.00
_cell_angle_gamma 120.00
loop_
_atom_site_label
_atom_site_fract_x
_atom_site_fract_y
_atom_site_fract_z
_atom_site_occupancy
Ge1 0.0000 0.0000 0.1042 1
Pd1 0.0000 0.0000 0.5000 1
Pb1 0.0000 0.0000 0.0000 1
```

Results
formation energy from the elements = 8 meV per atom
M_tot = 0.00 Bohr magnetons per cell
N(E_F) = 0.451 states/eV per atom